Computed, not measured: an optimized crystal structure of Na2CrO at the GGA+U level of DFT.

Unit cell a=9.558 b=9.558 c=3.967 alpha=90.00 beta=90.00 gamma=90.00
Fractional positions:
1 Na 0.077 0.750 0.125
2 Na 0.250 0.077 0.875
3 Na 0.250 0.423 0.375
4 Na 0.423 0.750 0.625
5 Na 0.577 0.250 0.625
6 Na 0.750 0.577 0.375
7 Na 0.750 0.923 0.875
8 Na 0.923 0.250 0.125
9 Cr 0.000 0.000 0.500
10 Cr 0.000 0.500 0.750
11 Cr 0.500 0.000 0.250
12 Cr 0.500 0.500 0.000
13 O 0.000 0.000 0.000
14 O 0.000 0.500 0.250
15 O 0.500 0.000 0.750
16 O 0.500 0.500 0.500

DFT total energy (eV per cell): -70.6
Density (g/cm3): 2.089